(1)
{
  "formula": "DyTmNi2B2C2",
  "functional": "GGA-PBE",
  "state": "optimized geometry",
  "vol_a3_per_cell": 95,
  "dft_energy_ev_per_atom": -7.042,
  "space_group": "No. 99",
  "lattice_angstrom": [[-2.3225, -0.6897, 2.6101], [1.5182, -3.1807, 0.5104], [4.7193, 3.0561, 5.0067]],
  "species": ["B", "B", "C", "C", "Ni", "Ni", "Tm", "Dy"],
  "frac_coords": [[0.0000, 0.0000, 0.1466], [0.5000, 0.5000, 0.8527], [0.0000, 0.0000, 0.3450], [0.5000, 0.5000, 0.6537], [0.5000, 0.0000, 0.0006], [0.0000, 0.5000, 0.0006], [0.5000, 0.5000, 0.3354], [0.0000, 0.0000, 0.6653]]
}

(2)
{
  "formula": "PrDyBC2",
  "functional": "GGA-PBE",
  "state": "optimized geometry",
  "vol_a3_per_cell": 78,
  "dft_energy_ev_per_atom": -7.229,
  "space_group": "No. 8",
  "lattice_angstrom": [[0.9853, 3.5352, 0.7765], [-2.5135, 1.2480, -2.4892], [-3.0915, -2.1162, 4.7942]],
  "species": ["Dy", "B", "C", "C", "Pr"],
  "frac_coords": [[0.3466, 0.3466, 0.6997], [0.0035, 0.0035, 0.0054], [0.1394, 0.1394, 0.2747], [0.8651, 0.8651, 0.7353], [0.6454, 0.6454, 0.2849]]
}

(3)
{
  "formula": "Er3BC3",
  "functional": "GGA-PBE",
  "state": "optimized geometry",
  "vol_a3_per_cell": 204,
  "dft_energy_ev_per_atom": -7.321,
  "space_group": "No. 63",
  "lattice_angstrom": [[2.5288, -2.5509, 0.0000], [2.5288, 2.5509, 0.0000], [0.0000, 0.0000, 15.7995]],
  "species": ["Er", "Er", "Er", "Er", "Er", "Er", "C", "C", "C", "C", "C", "C", "B", "B"],
  "frac_coords": [[0.5834, 0.4166, 0.3976], [0.5834, 0.4166, 0.1024], [0.4166, 0.5834, 0.6024], [0.9099, 0.0901, 0.7500], [0.0901, 0.9099, 0.2500], [0.4166, 0.5834, 0.8976], [0.0951, 0.9049, 0.4128], [0.9049, 0.0951, 0.5872], [0.0951, 0.9049, 0.0872], [0.4025, 0.5975, 0.7500], [0.9049, 0.0951, 0.9128], [0.5975, 0.4025, 0.2500], [0.0000, 0.0000, 0.0000], [0.0000, 0.0000, 0.5000]]
}

(4)
{
  "formula": "HoErB4C",
  "functional": "GGA-PBE",
  "state": "optimized geometry",
  "vol_a3_per_cell": 80,
  "dft_energy_ev_per_atom": -7.024,
  "space_group": "No. 44",
  "lattice_angstrom": [[-1.6267, 3.2800, 3.7352], [1.6267, -3.2800, 3.7352], [1.6267, 3.2800, -3.7352]],
  "species": ["B", "B", "B", "B", "Ho", "Er", "C"],
  "frac_coords": [[0.7719, 0.0000, 0.7719], [0.3658, 0.5003, 0.8655], [0.6349, 0.5003, 0.1345], [0.2281, 0.0000, 0.2281], [0.2343, 0.7343, 0.5000], [0.7656, 0.2656, 0.5000], [0.9993, 0.9993, 0.0000]]
}

(5)
{
  "formula": "HoErNi2B2C2",
  "functional": "GGA-PBE",
  "state": "optimized geometry",
  "vol_a3_per_cell": 96,
  "dft_energy_ev_per_atom": -7.052,
  "space_group": "No. 99",
  "lattice_angstrom": [[3.5647, 0.0000, 0.0000], [0.0000, 3.5647, 0.0000], [0.0000, 0.0000, 7.5301]],
  "species": ["Ni", "Ni", "Ho", "B", "B", "Er", "C", "C"],
  "frac_coords": [[0.5000, 0.0000, 0.0000], [0.0000, 0.5000, 0.0000], [0.5000, 0.5000, 0.3348], [0.0000, 0.0000, 0.1469], [0.5000, 0.5000, 0.8532], [0.0000, 0.0000, 0.6652], [0.0000, 0.0000, 0.3454], [0.5000, 0.5000, 0.6547]]
}

(6)
{
  "formula": "Er2Lu2B3C4",
  "functional": "GGA-PBE",
  "state": "optimized geometry",
  "vol_a3_per_cell": 142,
  "dft_energy_ev_per_atom": -7.345,
  "space_group": "No. 2",
  "lattice_angstrom": [[3.4382, 0.0000, 0.0000], [-0.0077, 3.5374, 0.0000], [-1.3422, -0.5912, 11.6884]],
  "species": ["C", "C", "C", "C", "Er", "Er", "B", "B", "B", "Lu", "Lu"],
  "frac_coords": [[0.8972, 0.0628, 0.8779], [0.1028, 0.9372, 0.1221], [0.6874, 0.4736, 0.3306], [0.3126, 0.5264, 0.6694], [0.1946, 0.9768, 0.3495], [0.8054, 0.0232, 0.6505], [0.0000, 0.0000, 0.0000], [0.7393, 0.4940, 0.4592], [0.2607, 0.5060, 0.5408], [0.6067, 0.4460, 0.1409], [0.3933, 0.5540, 0.8591]]
}

(7)
{
  "formula": "Er2Ni2B2CN",
  "functional": "GGA-PBE",
  "state": "optimized geometry",
  "vol_a3_per_cell": 92,
  "dft_energy_ev_per_atom": -7.234,
  "space_group": "No. 99",
  "lattice_angstrom": [[3.5050, 0.0000, 0.0000], [0.0000, 3.5050, 0.0000], [0.0000, 0.0000, 7.5041]],
  "species": ["Ni", "Ni", "N", "B", "B", "Er", "Er", "C"],
  "frac_coords": [[0.5000, 0.0000, 0.9968], [0.0000, 0.5000, 0.9968], [0.5000, 0.5000, 0.6498], [0.5000, 0.5000, 0.8439], [0.0000, 0.0000, 0.1531], [0.0000, 0.0000, 0.6675], [0.5000, 0.5000, 0.3391], [0.0000, 0.0000, 0.3530]]
}

(8)
{
  "formula": "SmErNi2B2C2",
  "functional": "GGA-PBE",
  "state": "optimized geometry",
  "vol_a3_per_cell": 99,
  "dft_energy_ev_per_atom": -7.011,
  "space_group": "No. 99",
  "lattice_angstrom": [[-3.3179, -1.0571, -1.0078], [1.2134, -0.6032, -3.3623], [1.6887, -7.0945, 1.8821]],
  "species": ["Sm", "C", "C", "B", "B", "Er", "Ni", "Ni"],
  "frac_coords": [[0.0000, 0.0000, 0.6695], [0.5000, 0.5000, 0.6565], [0.0000, 0.0000, 0.3402], [0.5000, 0.5000, 0.8555], [0.0000, 0.0000, 0.1420], [0.5000, 0.5000, 0.3328], [0.0000, 0.5000, 0.0018], [0.5000, 0.0000, 0.0018]]
}

(9)
{
  "formula": "TbErNi2B2C2",
  "functional": "GGA-PBE",
  "state": "optimized geometry",
  "vol_a3_per_cell": 97,
  "dft_energy_ev_per_atom": -7.044,
  "space_group": "No. 99",
  "lattice_angstrom": [[-1.4200, 3.1903, 0.7952], [-0.2891, -0.9840, 3.4314], [6.8932, 2.7283, 1.3631]],
  "species": ["Ni", "Ni", "Tb", "C", "C", "B", "B", "Er"],
  "frac_coords": [[0.0000, 0.5000, 0.5008], [0.5000, 0.0000, 0.5008], [0.5000, 0.5000, 0.1665], [0.0000, 0.0000, 0.1544], [0.5000, 0.5000, 0.8440], [0.5000, 0.5000, 0.6458], [0.0000, 0.0000, 0.3529], [0.0000, 0.0000, 0.8349]]
}

(10)
{
  "formula": "YErNi2B2C2",
  "functional": "GGA-PBE",
  "state": "optimized geometry",
  "vol_a3_per_cell": 97,
  "dft_energy_ev_per_atom": -7.278,
  "space_group": "No. 99",
  "lattice_angstrom": [[-0.1489, -3.2901, 1.3966], [2.8714, 0.7223, 2.0077], [-4.4914, 2.5419, 5.5093]],
  "species": ["C", "C", "B", "B", "Ni", "Ni", "Y", "Er"],
  "frac_coords": [[0.5000, 0.5000, 0.6548], [0.0000, 0.0000, 0.3442], [0.5000, 0.5000, 0.8532], [0.0000, 0.0000, 0.1462], [0.0000, 0.5000, 0.0006], [0.5000, 0.0000, 0.0006], [0.0000, 0.0000, 0.6656], [0.5000, 0.5000, 0.3348]]
}

(11)
{
  "formula": "ErBPbC2",
  "functional": "GGA-PBE",
  "state": "optimized geometry",
  "vol_a3_per_cell": 78,
  "dft_energy_ev_per_atom": -6.393,
  "space_group": "No. 107",
  "lattice_angstrom": [[-1.9111, 1.9111, 5.3512], [1.9111, -1.9111, 5.3512], [1.9111, 1.9111, -5.3512]],
  "species": ["Pb", "C", "C", "Er", "B"],
  "frac_coords": [[0.6449, 0.6449, 0.0000], [0.1389, 0.1389, 0.0000], [0.8669, 0.8669, 0.0000], [0.3479, 0.3479, 0.0000], [0.0013, 0.0013, 0.0000]]
}

(12)
{
  "formula": "PrErBC2",
  "functional": "GGA-PBE",
  "state": "optimized geometry",
  "vol_a3_per_cell": 77,
  "dft_energy_ev_per_atom": -7.221,
  "space_group": "No. 8",
  "lattice_angstrom": [[2.6392, -2.6390, 0.0000], [2.6392, 2.6390, 0.0000], [-2.5442, 0.0000, 5.5063]],
  "species": ["Pr", "Er", "C", "C", "B"],
  "frac_coords": [[0.3546, 0.3546, 0.7155], [0.6552, 0.6552, 0.3031], [0.8599, 0.8599, 0.7240], [0.1350, 0.1350, 0.2642], [0.9954, 0.9954, 0.9933]]
}

(13)
{
  "formula": "ErScBC2",
  "functional": "GGA-PBE",
  "state": "optimized geometry",
  "vol_a3_per_cell": 65,
  "dft_energy_ev_per_atom": -7.702,
  "space_group": "No. 107",
  "lattice_angstrom": [[-1.7344, 1.7344, 5.4049], [1.7344, -1.7344, 5.4049], [1.7344, 1.7344, -5.4049]],
  "species": ["C", "C", "B", "Sc", "Er"],
  "frac_coords": [[0.1356, 0.1356, 0.0000], [0.8604, 0.8604, 0.0000], [0.9980, 0.9980, 0.0000], [0.6539, 0.6539, 0.0000], [0.3521, 0.3521, 0.0000]]
}

(14)
{
  "formula": "YHoFe2B2C2",
  "functional": "GGA-PBE",
  "state": "optimized geometry",
  "vol_a3_per_cell": 98,
  "dft_energy_ev_per_atom": -7.802,
  "space_group": "No. 99",
  "lattice_angstrom": [[-0.6477, -3.2501, -1.1858], [2.7824, 0.2276, -2.1437], [4.6220, -2.9938, 5.6813]],
  "species": ["Y", "Fe", "Fe", "C", "C", "B", "B", "Ho"],
  "frac_coords": [[0.5000, 0.5000, 0.6619], [0.0000, 0.5000, 0.0003], [0.5000, 0.0000, 0.0003], [0.5000, 0.5000, 0.3535], [0.0000, 0.0000, 0.6457], [0.5000, 0.5000, 0.1655], [0.0000, 0.0000, 0.8341], [0.0000, 0.0000, 0.3386]]
}

(15)
{
  "formula": "YTmFe2B2C2",
  "functional": "GGA-PBE",
  "state": "optimized geometry",
  "vol_a3_per_cell": 97,
  "dft_energy_ev_per_atom": -7.802,
  "space_group": "No. 99",
  "lattice_angstrom": [[3.5047, 0.0000, 0.0000], [0.0000, 3.5047, 0.0000], [0.0000, 0.0000, 7.8952]],
  "species": ["Y", "Fe", "Fe", "B", "B", "C", "C", "Tm"],
  "frac_coords": [[0.0000, 0.0000, 0.6615], [0.0000, 0.5000, 0.0006], [0.5000, 0.0000, 0.0006], [0.0000, 0.0000, 0.1659], [0.5000, 0.5000, 0.8331], [0.5000, 0.5000, 0.6445], [0.0000, 0.0000, 0.3541], [0.5000, 0.5000, 0.3396]]
}

(16)
{
  "formula": "Y3Fe4B4C3",
  "functional": "GGA-PBE",
  "state": "optimized geometry",
  "vol_a3_per_cell": 166,
  "dft_energy_ev_per_atom": -8.001,
  "space_group": "No. 139",
  "lattice_angstrom": [[5.4987, 6.6779, 10.5904], [0.9123, 8.5748, 10.6126], [-3.9470, -9.4369, -9.0749]],
  "species": ["Fe", "Fe", "Fe", "Fe", "Y", "Y", "Y", "B", "B", "B", "B", "C", "C", "C"],
  "frac_coords": [[0.0026, 0.5026, 0.5000], [0.5026, 0.0026, 0.5000], [0.7063, 0.2063, 0.5000], [0.2063, 0.7063, 0.5000], [0.4020, 0.4020, 0.0000], [0.8068, 0.8068, 0.0000], [0.1044, 0.1044, 0.0000], [0.2551, 0.2551, 0.0000], [0.9538, 0.9538, 0.0000], [0.5492, 0.5492, 0.0000], [0.6597, 0.6597, 0.0000], [0.8982, 0.8982, 0.0000], [0.6045, 0.6045, 0.0000], [0.3106, 0.3106, 0.0000]]
}

(17)
{
  "formula": "Gd4B2C5",
  "functional": "GGA-PBE",
  "state": "optimized geometry",
  "vol_a3_per_cell": 160,
  "dft_energy_ev_per_atom": -7.288,
  "space_group": "No. 12",
  "lattice_angstrom": [[-0.3417, 6.5402, 1.2673], [-3.6482, 5.5835, -0.1099], [-0.2914, -7.1551, 5.6701]],
  "species": ["C", "C", "C", "C", "C", "Gd", "Gd", "Gd", "Gd", "B", "B"],
  "frac_coords": [[0.1801, 0.1801, 0.7905], [0.0983, 0.0983, 0.3773], [0.9017, 0.9017, 0.6227], [0.0000, 0.0000, 0.0000], [0.8199, 0.8199, 0.2095], [0.4227, 0.4227, 0.1062], [0.7284, 0.7284, 0.6514], [0.5773, 0.5773, 0.8938], [0.2716, 0.2716, 0.3486], [0.0267, 0.0267, 0.6452], [0.9733, 0.9733, 0.3548]]
}

(18)
{
  "formula": "GdB2C2",
  "functional": "GGA-PBE",
  "state": "optimized geometry",
  "vol_a3_per_cell": 104,
  "dft_energy_ev_per_atom": -7.740,
  "space_group": "No. 127",
  "lattice_angstrom": [[5.3602, 0.0000, 0.0000], [0.0000, 5.3602, 0.0000], [0.0000, 0.0000, 3.6263]],
  "species": ["C", "C", "C", "C", "B", "B", "B", "B", "Gd", "Gd"],
  "frac_coords": [[0.6616, 0.8384, 0.5000], [0.3384, 0.1616, 0.5000], [0.8384, 0.3384, 0.5000], [0.1616, 0.6616, 0.5000], [0.6370, 0.1370, 0.5000], [0.1370, 0.3630, 0.5000], [0.8630, 0.6370, 0.5000], [0.3630, 0.8630, 0.5000], [0.5000, 0.5000, 0.0000], [0.0000, 0.0000, 0.0000]]
}

(19)
{
  "formula": "GdBH4CO7",
  "functional": "GGA-PBE",
  "state": "optimized geometry",
  "vol_a3_per_cell": 488,
  "dft_energy_ev_per_atom": -6.731,
  "space_group": "No. 57",
  "lattice_angstrom": [[-3.0113, -5.0603, -1.2101], [2.4796, -3.2449, 7.3990], [-7.8254, 3.6471, 4.2219]],
  "species": ["H", "H", "H", "H", "H", "H", "H", "H", "H", "H", "H", "H", "H", "H", "H", "H", "O", "O", "O", "O", "O", "O", "O", "O", "O", "O", "O", "O", "O", "O", "O", "O", "O", "O", "O", "O", "O", "O", "O", "O", "O", "O", "O", "O", "Gd", "Gd", "Gd", "Gd", "B", "B", "B", "B", "C", "C", "C", "C"],
  "frac_coords": [[0.6535, 0.3080, 0.3349], [0.3551, 0.0460, 0.4079], [0.3465, 0.6920, 0.6651], [0.6449, 0.9540, 0.9079], [0.3551, 0.0460, 0.0921], [0.3465, 0.8080, 0.1651], [0.6449, 0.9540, 0.5921], [0.6449, 0.5460, 0.4079], [0.6449, 0.5460, 0.0921], [0.6535, 0.1920, 0.8349], [0.3551, 0.4540, 0.9079], [0.3551, 0.4540, 0.5921], [0.6535, 0.1920, 0.6651], [0.6535, 0.3080, 0.1651], [0.3465, 0.8080, 0.3349], [0.3465, 0.6920, 0.8349], [0.0793, 0.4839, 0.3693], [0.6196, 0.3600, 0.0767], [0.3804, 0.8600, 0.0767], [0.9207, 0.5161, 0.6307], [0.3804, 0.6400, 0.9233], [0.6726, 0.6630, 0.0950], [0.6196, 0.1400, 0.5767], [0.3274, 0.3370, 0.9050], [0.3274, 0.1630, 0.4050], [0.8823, 0.2943, 0.7500], [0.0793, 0.0161, 0.8693], [0.6726, 0.8370, 0.9050], [0.1177, 0.7943, 0.7500], [0.6196, 0.3600, 0.4233], [0.6196, 0.1400, 0.9233], [0.0793, 0.0161, 0.6307], [0.9207, 0.5161, 0.8693], [0.3274, 0.3370, 0.5950], [0.6726, 0.8370, 0.5950], [0.6726, 0.6630, 0.4050], [0.9207, 0.9839, 0.3693], [0.8823, 0.2057, 0.2500], [0.0793, 0.4839, 0.1307], [0.9207, 0.9839, 0.1307], [0.1177, 0.7057, 0.2500], [0.3274, 0.1630, 0.0950], [0.3804, 0.8600, 0.4233], [0.3804, 0.6400, 0.5767], [0.9892, 0.2500, 0.5000], [0.9892, 0.2500, 0.0000], [0.0108, 0.7500, 0.0000], [0.0108, 0.7500, 0.5000], [0.4678, 0.2500, 0.0000], [0.4678, 0.2500, 0.5000], [0.5322, 0.7500, 0.0000], [0.5322, 0.7500, 0.5000], [0.9062, 0.4498, 0.7500], [0.0938, 0.5502, 0.2500], [0.9062, 0.0502, 0.2500], [0.0938, 0.9498, 0.7500]]
}

(20)
{
  "formula": "GdHoB2Ir2C2",
  "functional": "GGA-PBE",
  "state": "optimized geometry",
  "vol_a3_per_cell": 109,
  "dft_energy_ev_per_atom": -7.829,
  "space_group": "No. 99",
  "lattice_angstrom": [[-1.4675, -3.3750, -0.6660], [3.3517, -1.5659, 0.5496], [-1.6137, -0.7939, 7.5795]],
  "species": ["C", "C", "Ir", "Ir", "B", "B", "Gd", "Ho"],
  "frac_coords": [[0.5000, 0.5000, 0.8542], [0.0000, 0.0000, 0.1478], [0.5000, 0.0000, 0.4994], [0.0000, 0.5000, 0.4994], [0.0000, 0.0000, 0.3415], [0.5000, 0.5000, 0.6595], [0.0000, 0.0000, 0.8376], [0.5000, 0.5000, 0.1608]]
}